Record 1
Computed, not measured: crystalline Zr2Al2Si at its relaxed geometry at the PBE level of DFT.

a b c (Å): 5.5221 5.5221 7.0133
angles (deg): 104.91 104.91 61.92
Element x y z (fractional)
Zr (0.0428, 0.2764, 0.1353)
Zr (0.2764, 0.0428, 0.6353)
Zr (0.7236, 0.9572, 0.3647)
Zr (0.9572, 0.7236, 0.8647)
Al (0.2560, 0.5088, 0.5307)
Al (0.4912, 0.7440, 0.9693)
Al (0.5088, 0.2560, 0.0307)
Al (0.7440, 0.4912, 0.4693)
Si (0.2360, 0.7640, 0.2500)
Si (0.7640, 0.2360, 0.7500)

Properties
DFT total energy = -6.546 eV per atom
polymorph energy (0 for the lowest one) = 0.000 eV/atom
M_tot = 0.00 μB/f.u.
E_form (uncorrected) = -545 meV/atom



Record 2
Computed, not measured: crystalline ZrAlSi6 at its relaxed geometry at the PBE level of DFT.

a b c (Å): 3.6608 3.6608 9.8996
angles (deg): 90.00 90.00 90.00
Element x y z (fractional)
Zr (0.0000, 0.0000, 0.0000)
Al (0.0000, 0.0000, 0.5000)
Si (0.0000, 0.5000, 0.3033)
Si (0.0000, 0.5000, 0.6967)
Si (0.5000, 0.0000, 0.3033)
Si (0.5000, 0.0000, 0.6967)
Si (0.5000, 0.5000, 0.1210)
Si (0.5000, 0.5000, 0.8790)

Properties
DFT total energy = -5.422 eV per atom
M_tot = 0.00 μB/f.u.
E_form (uncorrected) = 181 meV/atom



Q: M_tot of number 1 (Zr2Al2Si)?
A: 0.00 μB/f.u.